[1]
The following is a DFT calculation (PBE-GGA) of Rb2TlSiO4 after structural relaxation.

The structure belongs to space group I-4 (No. 82); the cell edges are 6.166, 6.166 and 8.153 Å and the angles 90.00°, 90.00° and 90.00°. The inequivalent atoms are Rb at (0.000, 0.000, 0.000), Rb at (0.000, 0.500, 0.250), Tl at (0.000, 0.500, 0.750), Si at (0.000, 0.000, 0.500) and O at (0.133, 0.184, 0.611).

The value obtained for the density is 5.01 Mg/m³.

[2]
The following is a DFT calculation (PBE-GGA) of RbTlSiO4 after structural relaxation.

The structure belongs to space group P2_1/m (No. 11); the cell edges are 5.576, 5.899 and 7.594 Å and the angles 90.00°, 107.32° and 90.00°. The inequivalent atoms are Rb at (0.194, 0.250, 0.433), Tl at (0.291, 0.250, 0.960), Si at (0.249, 0.750, 0.154), O at (0.051, 0.750, 0.944), O at (0.080, 0.750, 0.298) and O at (0.452, 0.533, 0.179).

The value obtained for the density is 5.32 Mg/m³.

[3]
The following is a DFT calculation (PBE-GGA) of Rb2USiO6 after structural relaxation.

The structure belongs to space group I4/mmm (No. 139); the cell edges are 5.573, 5.573 and 10.199 Å and the angles 90.00°, 90.00° and 90.00°. The inequivalent atoms are Rb at (0.000, 0.500, 0.250), U at (0.000, 0.000, 0.000), Si at (0.000, 0.000, 0.500), O at (0.000, 0.000, 0.187) and O at (0.217, 0.217, 0.500).

The value obtained for the density is 5.59 Mg/m³.

[4]
The following is a DFT calculation (PBE-GGA) of RbUSiO6 after structural relaxation.

The structure belongs to space group P312 (No. 149); the cell edges are 5.2278, 5.2278 and 6.3906 Å and the angles 90.00°, 90.00° and 120.00°. The inequivalent atoms are Rb at (0.0000, 0.0000, 0.0000), U at (0.3333, 0.6667, 0.5000), Si at (0.6667, 0.3333, 0.5000) and O at (0.3968, 0.0384, 0.6623).

The value obtained for the density is 4.91 Mg/m³.

no.,raw formation energy (meV per atom),final energy (eV per atom)
1,-1784.9,-5.48
2,-1788.5,-5.87
3,-2452.1,-7.29
4,-2393.5,-7.66